DFT (GGA-PBE) results for YSc3S4 after structural relaxation.

POSCAR file:
```
YSc3S4
1.0
7.537 0.000 0.000
0.000 10.619 0.000
0.000 0.000 3.736
Y Sc S
2 6 8
direct
0.000 0.000 0.000
0.500 0.500 0.000
0.000 0.500 0.000
0.250 0.250 0.500
0.250 0.750 0.500
0.500 0.000 0.000
0.750 0.250 0.500
0.750 0.750 0.500
0.000 0.256 0.000
0.000 0.744 0.000
0.238 0.500 0.500
0.262 0.000 0.500
0.500 0.244 0.000
0.500 0.756 0.000
0.738 0.000 0.500
0.762 0.500 0.500
```

## Properties
The theoretical density comes out at 3.91 g/cm³. For the total energy, the calculation gives -7.132 eV/atom. The space group is Cmmm, No. 65. As for the total magnetization: 0.00 μB per formula unit.

=====

DFT (GGA-PBE) results for TaP2CO after structural relaxation.

POSCAR file:
```
TaP2CO
1.0
4.914 0.000 0.000
0.000 4.914 0.000
0.000 0.000 3.822
Ta P C O
1 2 1 1
direct
0.000 0.000 0.000
0.000 0.500 0.000
0.500 0.000 0.000
0.500 0.500 0.500
0.000 0.000 0.500
```

## Properties
The theoretical density comes out at 4.87 g/cm³. The value obtained for the energy above the most stable polymorph in this dataset is 1.196 eV/f.u. The space group is P4/mmm, No. 123. As for the total magnetization: 0.23 μB per formula unit.

=====

DFT (GGA-PBE) results for TlMo2Rh after structural relaxation.

POSCAR file:
```
TlMo2Rh
1.0
3.847 0.000 0.000
0.000 3.847 0.000
0.000 0.000 4.540
Tl Mo Rh
1 2 1
direct
0.000 0.000 0.000
0.000 0.500 0.500
0.500 0.000 0.500
0.500 0.500 0.000
```

## Properties
The theoretical density comes out at 12.34 g/cm³. The value obtained for the energy above the most stable polymorph in this dataset is 0.298 eV/f.u. The calculation puts the formation energy at 372 meV per atom. The space group is P4/mmm, No. 123. As for the total magnetization: 0.00 μB per formula unit.

=====

DFT (GGA-PBE) results for RbAgGe after structural relaxation.

POSCAR file:
```
RbAgGe
1.0
4.733 0.000 0.000
0.000 15.906 0.000
0.000 0.000 4.733
Rb Ag Ge
4 4 4
direct
0.000 0.173 0.000
0.000 0.827 0.000
0.500 0.327 0.500
0.500 0.673 0.500
0.000 0.000 0.501
0.000 0.500 0.499
0.500 0.000 0.999
0.500 0.500 0.001
0.000 0.414 0.999
0.000 0.586 0.999
0.500 0.086 0.499
0.500 0.914 0.499
```

## Properties
The theoretical density comes out at 4.96 g/cm³. The value obtained for the energy above the most stable polymorph in this dataset is 0.000 eV/f.u. The calculation puts the formation energy at -69 meV per atom. The space group is Imm2, No. 44. As for the total magnetization: 0.00 μB per formula unit.

=====

DFT (GGA-PBE) results for NdBiIr after structural relaxation.

POSCAR file:
```
NdBiIr
1.0
4.773 0.000 0.000
-2.387 4.134 0.000
0.000 0.000 3.703
Nd Bi Ir
1 1 1
direct
0.000 0.000 0.000
0.667 0.333 0.500
0.333 0.667 0.500
```

## Properties
The theoretical density comes out at 12.40 g/cm³. The calculation puts the formation energy at -459 meV per atom. The space group is P-6m2, No. 187. As for the total magnetization: 0.00 μB per formula unit.

=====

DFT (GGA-PBE) results for PrGd2Y after structural relaxation.

POSCAR file:
```
PrGd2Y
1.0
8.125 0.000 0.000
0.000 8.125 0.000
0.000 0.000 8.125
Pr Gd Y
4 8 4
direct
0.000 0.000 0.000
0.000 0.500 0.500
0.500 0.000 0.500
0.500 0.500 0.000
0.250 0.250 0.250
0.250 0.250 0.750
0.250 0.750 0.250
0.250 0.750 0.750
0.750 0.250 0.250
0.750 0.250 0.750
0.750 0.750 0.250
0.750 0.750 0.750
0.000 0.000 0.500
0.000 0.500 0.000
0.500 0.000 0.000
0.500 0.500 0.500
```

## Properties
The theoretical density comes out at 6.74 g/cm³. The value obtained for the energy above the most stable polymorph in this dataset is 0.274 eV/f.u. The calculation puts the formation energy at 89 meV per atom. The space group is Fm-3m, No. 225. As for the total magnetization: 16.34 μB per formula unit.

=====

DFT (GGA-PBE) results for Tb3Pm6NdSm2 after structural relaxation.

POSCAR file:
```
Tb3Pm6NdSm2
1.0
3.145 -5.446 0.000
3.145 5.446 0.000
-2.097 0.000 11.827
Tb Pm Nd Sm
3 6 1 2
direct
0.000 0.000 0.000
0.333 0.667 0.000
0.667 0.333 0.000
0.082 0.416 0.248
0.251 0.251 0.752
0.416 0.082 0.248
0.584 0.918 0.752
0.749 0.749 0.248
0.918 0.584 0.752
0.500 0.500 0.500
0.167 0.833 0.500
0.833 0.167 0.500
```

## Properties
The theoretical density comes out at 7.34 g/cm³. The calculation puts the formation energy at 13 meV per atom. The space group is C2/m, No. 12. As for the total magnetization: 0.00 μB per formula unit.

=====

DFT (GGA-PBE) results for Mg6CdSb after structural relaxation.

POSCAR file:
```
Mg6CdSb
1.0
5.146 0.000 0.000
0.000 6.228 0.000
0.000 0.000 11.520
Mg Cd Sb
12 2 2
direct
0.000 0.000 0.000
0.000 0.247 0.759
0.000 0.253 0.259
0.000 0.500 0.500
0.000 0.747 0.259
0.000 0.753 0.759
0.500 0.000 0.838
0.500 0.248 0.578
0.500 0.252 0.078
0.500 0.500 0.338
0.500 0.748 0.078
0.500 0.752 0.578
0.000 0.000 0.536
0.000 0.500 0.036
0.500 0.000 0.315
0.500 0.500 0.815
```

## Properties
The theoretical density comes out at 3.42 g/cm³. For the total energy, the calculation gives -1.896 eV/atom. The space group is Amm2, No. 38. As for the total magnetization: 0.00 μB per formula unit.

=====

DFT (GGA-PBE) results for CaFeAs2 after structural relaxation.

POSCAR file:
```
CaFeAs2
1.0
6.525 0.000 0.000
0.000 6.525 0.000
0.000 0.000 6.525
Ca Fe As
4 4 8
direct
0.000 0.000 0.000
0.000 0.500 0.500
0.500 0.000 0.500
0.500 0.500 0.000
0.000 0.000 0.500
0.000 0.500 0.000
0.500 0.000 0.000
0.500 0.500 0.500
0.250 0.250 0.250
0.250 0.250 0.750
0.250 0.750 0.250
0.250 0.750 0.750
0.750 0.250 0.250
0.750 0.250 0.750
0.750 0.750 0.250
0.750 0.750 0.750
```

## Properties
The theoretical density comes out at 5.88 g/cm³. The value obtained for the energy above the most stable polymorph in this dataset is 1.642 eV/f.u. The calculation puts the formation energy at -59 meV per atom. The space group is Fm-3m, No. 225. As for the total magnetization: 0.00 μB per formula unit.

=====

What is the formula in the third record? TlMo2Rh

=====

Which value of total magnetization does entry 4 give? 0.00 μB per formula unit